Rb2AuI6N | GGA-PBE | optimized geometry

a b c (Å): 7.8490 7.8490 7.8490
angles (deg): 119.90 119.90 90.17
Fractional positions:
Rb1 0.2500 0.7500 0.5000
Rb2 0.7500 0.2500 0.5000
Au1 0.0000 0.0000 0.0000
I1 0.2594 0.2594 0.5188
I2 0.2594 0.7406 0.0000
I3 0.2625 0.2625 0.0000
I4 0.7375 0.7375 0.0000
I5 0.7406 0.2594 0.0000
I6 0.7406 0.7406 0.4812
N1 0.5000 0.5000 0.0000

**V**: 342.4 Å³/cell
**E_tot**: -0.091 Ha/atom